No. 1
## HfCuPd3 (PBE-GGA)

Data for a relaxed HfCuPd3 crystal.

**M_tot**: 0.00 μB/f.u.
**Calculated total energy**: -125.866 eV/cell

a b c (Å): 5.5774 7.9527 7.4010
angles (deg): 90.00 90.00 90.00
Space group Pnma (No. 62)
Asymmetric unit:
1 Hf 0.1947 0.2500 0.0073 x4
2 Cu 0.0000 0.0000 0.5000 x4
3 Pd 0.1192 0.5607 0.8210 x8
4 Pd 0.2436 0.2500 0.6415 x4

---

No. 2
## TiTlCl3 (PBE-GGA)

Data for a relaxed TiTlCl3 crystal.

**M_tot**: 1.38 μB/f.u.
**Energy relative to the elements, uncorrected**: -121 kJ per mole of atoms
**Calculated total energy**: -44.133 eV/cell

a b c (Å): 7.2891 7.2891 5.6025
angles (deg): 90.00 90.00 120.00
Space group P6_3/mmc (No. 194)
Asymmetric unit:
1 Ti 0.0000 0.0000 0.0000 x2
2 Tl 0.3333 0.6667 0.2500 x2
3 Cl 0.1653 0.3305 0.7500 x6

---

No. 3
## AsP2Rh (PBE-GGA)

Data for a relaxed AsP2Rh crystal.

**M_tot**: 0.00 μB/f.u.
**Calculated total energy**: -23.450 eV/cell

a b c (Å): 4.4115 3.4677 4.5051
angles (deg): 90.00 108.76 90.00
Space group P2/m (No. 10)
Asymmetric unit:
1 As 0.0000 0.0000 0.0000 x1
2 P 0.2289 0.5000 0.6860 x2
3 Rh 0.5000 0.0000 0.5000 x1

---

No. 4
## TbTmHgPd (PBE-GGA)

Data for a relaxed TbTmHgPd crystal.

**M_tot**: 0.00 μB/f.u.
**Calculated total energy**: -68.860 eV/cell

a b c (Å): 7.2012 7.2012 7.2012
angles (deg): 90.00 90.00 90.00
Space group F-43m (No. 216)
Asymmetric unit:
1 Tb 0.0000 0.0000 0.0000 x4
2 Tm 0.0000 0.0000 0.5000 x4
3 Hg 0.2500 0.2500 0.2500 x4
4 Pd 0.2500 0.2500 0.7500 x4